8
Lattice="-0.9402 1.4898 -2.9588 -7.5865 -4.6490 0.0699 0.3601 7.9862 3.9068" Properties=species:S:1:pos:R:3 comment="Pr3Dy2In3, relaxed, DFT PBE" final_energy_ev_per_atom=-4.296 dos_at_fermi_per_ev_atom=1.433 ef_ev_per_atom=-0.327 polymorph_energy_ev_per_atom=0.0260 total_magnetization_mub_per_fu=0.004 pbc="T T T"
In -3.2807 2.0429 0.0673
In -0.2501 5.6251 0.9080
In -5.1060 -2.0960 -1.4367
Pr -1.8345 -1.1242 0.0169
Pr -5.4790 2.5302 3.0151
Pr 0.0871 1.9312 0.9447
Dy -2.2888 3.7745 2.6279
Dy -4.9376 -0.4373 1.3489